Record 1
Entry from Alexandria: CsMn3Ag4Cl12 after structural relaxation (GGA-PBE).

Values from the calculation:
**Space group**: R32 (155)
**Size of the total moment**: 14.0 μB/f.u.
**Formation energy without anion corrections**: -0.8771 eV/atom
**DOS(E_F)**: 0.546 states/eV per atom

Cell and atoms, written as CIF:
```
data_CsMn3Ag4Cl12
_chemical_formula_sum 'Cs1 Mn3 Ag4 Cl12'
_cell_length_a 8.995
_cell_length_b 8.995
_cell_length_c 8.995
_cell_angle_alpha 108.46
_cell_angle_beta 108.46
_cell_angle_gamma 108.46
_space_group_name_H-M_alt 'P 1'
_space_group_IT_number 1
loop_
_space_group_symop_operation_xyz
'x,y,z'
loop_
_atom_site_label
_atom_site_type_symbol
_atom_site_fract_x
_atom_site_fract_y
_atom_site_fract_z
Ag1 Ag 0.500 0.840 0.160
Ag2 Ag 0.160 0.500 0.840
Ag3 Ag 0.500 0.500 0.500
Ag4 Ag 0.840 0.160 0.500
Cl1 Cl 0.326 0.674 0.500
Cl2 Cl 0.652 0.715 0.032
Cl3 Cl 0.968 0.285 0.348
Cl4 Cl 0.900 0.500 0.100
Cl5 Cl 0.500 0.100 0.900
Cl6 Cl 0.715 0.032 0.652
Cl7 Cl 0.500 0.326 0.674
Cl8 Cl 0.032 0.652 0.715
Cl9 Cl 0.674 0.500 0.326
Cl10 Cl 0.100 0.900 0.500
Cl11 Cl 0.348 0.968 0.285
Cl12 Cl 0.285 0.348 0.968
Mn1 Mn 0.000 0.586 0.414
Mn2 Mn 0.586 0.414 0.000
Mn3 Mn 0.414 0.000 0.586
Cs1 Cs 0.000 0.000 0.000
```



Record 2
Entry from Alexandria: ZrRe2Ag after structural relaxation (GGA-PBE).

Values from the calculation:
**DFT formation energy**: 276 meV/atom
**Space group**: Pmmm (47)
**Size of the total moment**: 0.0 μB/f.u.
**DOS(E_F)**: 0.870 states/eV per atom

Cell and atoms, written as CIF:
```
data_ZrRe2Ag
_chemical_formula_sum 'Zr1 Re2 Ag1'
_cell_length_a 3.937
_cell_length_b 3.964
_cell_length_c 4.332
_cell_angle_alpha 90.00
_cell_angle_beta 90.00
_cell_angle_gamma 90.00
_space_group_name_H-M_alt 'P 1'
_space_group_IT_number 1
loop_
_space_group_symop_operation_xyz
'x,y,z'
loop_
_atom_site_label
_atom_site_type_symbol
_atom_site_fract_x
_atom_site_fract_y
_atom_site_fract_z
Re1 Re 0.000 0.000 0.000
Re2 Re 0.500 0.500 0.000
Ag1 Ag 0.000 0.500 0.500
Zr1 Zr 0.500 0.000 0.500
```



Record 3
Entry from Alexandria: RbLiAc2I8 after structural relaxation (GGA-PBE).

Values from the calculation:
**Space group**: P2/m (10)
**Size of the total moment**: 0.0 μB/f.u.
**Formation energy without anion corrections**: -1.4367 eV/atom
**DOS(E_F)**: 0.000 states/eV per atom

Cell and atoms, written as CIF:
```
data_RbLiAc2I8
_chemical_formula_sum 'Rb1 Li1 Ac2 I8'
_cell_length_a 8.028
_cell_length_b 7.758
_cell_length_c 10.024
_cell_angle_alpha 90.00
_cell_angle_beta 90.00
_cell_angle_gamma 82.67
_space_group_name_H-M_alt 'P 1'
_space_group_IT_number 1
loop_
_space_group_symop_operation_xyz
'x,y,z'
loop_
_atom_site_label
_atom_site_type_symbol
_atom_site_fract_x
_atom_site_fract_y
_atom_site_fract_z
Ac1 Ac 0.500 0.500 0.242
Ac2 Ac 0.500 0.500 0.758
I1 I 0.650 0.727 0.000
I2 I 0.841 0.235 0.211
I3 I 0.636 0.717 0.500
I4 I 0.842 0.235 0.789
I5 I 0.158 0.765 0.211
I6 I 0.364 0.283 0.500
I7 I 0.350 0.273 0.000
I8 I 0.159 0.765 0.789
Li1 Li 0.000 0.000 0.000
Rb1 Rb 0.000 0.000 0.500
```



Record 4
Entry from Alexandria: Rb2Cd5Ag5 after structural relaxation (GGA-PBE).

Values from the calculation:
**DFT formation energy**: -26 meV/atom
**Space group**: Pmmm (47)
**Size of the total moment**: 0.0 μB/f.u.
**DOS(E_F)**: 0.340 states/eV per atom

Cell and atoms, written as CIF:
```
data_Rb2Cd5Ag5
_chemical_formula_sum 'Rb2 Cd5 Ag5'
_cell_length_a 4.678
_cell_length_b 6.138
_cell_length_c 10.684
_cell_angle_alpha 90.00
_cell_angle_beta 90.00
_cell_angle_gamma 90.00
_space_group_name_H-M_alt 'P 1'
_space_group_IT_number 1
loop_
_space_group_symop_operation_xyz
'x,y,z'
loop_
_atom_site_label
_atom_site_type_symbol
_atom_site_fract_x
_atom_site_fract_y
_atom_site_fract_z
Ag1 Ag 0.500 0.251 0.254
Ag2 Ag 0.500 0.251 0.746
Ag3 Ag 0.500 0.749 0.254
Ag4 Ag 0.500 0.500 0.500
Ag5 Ag 0.500 0.749 0.746
Cd1 Cd 0.000 0.500 0.331
Cd2 Cd 0.000 0.500 0.669
Cd3 Cd 0.500 0.000 0.000
Cd4 Cd 0.000 0.000 0.176
Cd5 Cd 0.000 0.000 0.824
Rb1 Rb 0.000 0.500 0.000
Rb2 Rb 0.000 0.000 0.500
```



Record 5
Entry from Alexandria: Rb2HfTc after structural relaxation (GGA-PBE).

Values from the calculation:
**DFT formation energy**: 1259 meV/atom
**Space group**: I-42d (122)
**Size of the total moment**: 0.0 μB/f.u.
**DOS(E_F)**: 1.051 states/eV per atom

Cell and atoms, written as CIF:
```
data_Rb2HfTc
_chemical_formula_sum 'Rb4 Hf2 Tc2'
_cell_length_a 13.389
_cell_length_b 13.389
_cell_length_c 9.748
_cell_angle_alpha 46.63
_cell_angle_beta 46.63
_cell_angle_gamma 90.00
_space_group_name_H-M_alt 'P 1'
_space_group_IT_number 1
loop_
_space_group_symop_operation_xyz
'x,y,z'
loop_
_atom_site_label
_atom_site_type_symbol
_atom_site_fract_x
_atom_site_fract_y
_atom_site_fract_z
Rb1 Rb 0.299 0.625 0.250
Rb2 Rb 0.375 0.549 0.750
Rb3 Rb 0.875 0.701 0.750
Rb4 Rb 0.451 0.125 0.250
Hf1 Hf 0.000 0.000 0.000
Hf2 Hf 0.750 0.250 0.500
Tc1 Tc 0.500 0.500 0.000
Tc2 Tc 0.250 0.750 0.500
```



Record 6
Entry from Alexandria: MgInBC2 after structural relaxation (GGA-PBE).

Values from the calculation:
**DFT formation energy**: 1888 meV/atom
**Space group**: P4/mmm (123)
**Size of the total moment**: 0.0 μB/f.u.
**DOS(E_F)**: 0.404 states/eV per atom

Cell and atoms, written as CIF:
```
data_MgInBC2
_chemical_formula_sum 'Mg1 In1 B1 C2'
_cell_length_a 3.618
_cell_length_b 5.308
_cell_length_c 3.618
_cell_angle_alpha 90.00
_cell_angle_beta 90.00
_cell_angle_gamma 90.00
_space_group_name_H-M_alt 'P 1'
_space_group_IT_number 1
loop_
_space_group_symop_operation_xyz
'x,y,z'
loop_
_atom_site_label
_atom_site_type_symbol
_atom_site_fract_x
_atom_site_fract_y
_atom_site_fract_z
C1 C 0.500 0.000 0.000
C2 C 0.000 0.000 0.500
B1 B 0.000 0.000 0.000
Mg1 Mg 0.500 0.500 0.500
In1 In 0.000 0.500 0.000
```



Record 7
Entry from Alexandria: Y2PN after structural relaxation (GGA-PBE).

Values from the calculation:
**Space group**: Fm-3m (225)
**Size of the total moment**: 0.0 μB/f.u.
**Formation energy without anion corrections**: -0.6579 eV/atom
**DOS(E_F)**: 0.292 states/eV per atom

Cell and atoms, written as CIF:
```
data_Y2PN
_chemical_formula_sum 'Y2 P1 N1'
_cell_length_a 4.653
_cell_length_b 4.653
_cell_length_c 4.653
_cell_angle_alpha 60.00
_cell_angle_beta 60.00
_cell_angle_gamma 60.00
_space_group_name_H-M_alt 'P 1'
_space_group_IT_number 1
loop_
_space_group_symop_operation_xyz
'x,y,z'
loop_
_atom_site_label
_atom_site_type_symbol
_atom_site_fract_x
_atom_site_fract_y
_atom_site_fract_z
N1 N 0.000 0.000 0.000
Y1 Y 0.250 0.250 0.250
Y2 Y 0.750 0.750 0.750
P1 P 0.500 0.500 0.500
```



Record 8
Entry from Alexandria: Pm3NiPt2 after structural relaxation (GGA-PBE).

Values from the calculation:
**DFT formation energy**: -885 meV/atom
**Space group**: Pnma (62)
**Size of the total moment**: 0.0 μB/f.u.
**DOS(E_F)**: 0.546 states/eV per atom

Cell and atoms, written as CIF:
```
data_Pm3NiPt2
_chemical_formula_sum 'Pm12 Ni4 Pt8'
_cell_length_a 4.088
_cell_length_b 11.925
_cell_length_c 11.684
_cell_angle_alpha 90.00
_cell_angle_beta 90.00
_cell_angle_gamma 90.00
_space_group_name_H-M_alt 'P 1'
_space_group_IT_number 1
loop_
_space_group_symop_operation_xyz
'x,y,z'
loop_
_atom_site_label
_atom_site_type_symbol
_atom_site_fract_x
_atom_site_fract_y
_atom_site_fract_z
Pm1 Pm 0.750 0.876 0.447
Pm2 Pm 0.250 0.055 0.876
Pm3 Pm 0.250 0.445 0.376
Pm4 Pm 0.750 0.195 0.284
Pm5 Pm 0.250 0.376 0.053
Pm6 Pm 0.250 0.124 0.553
Pm7 Pm 0.750 0.555 0.624
Pm8 Pm 0.250 0.695 0.216
Pm9 Pm 0.750 0.945 0.124
Pm10 Pm 0.250 0.805 0.716
Pm11 Pm 0.750 0.624 0.947
Pm12 Pm 0.750 0.305 0.784
Pt1 Pt 0.250 0.808 0.991
Pt2 Pt 0.250 0.011 0.316
Pt3 Pt 0.750 0.511 0.184
Pt4 Pt 0.750 0.192 0.009
Pt5 Pt 0.250 0.489 0.816
Pt6 Pt 0.750 0.989 0.684
Pt7 Pt 0.250 0.692 0.491
Pt8 Pt 0.750 0.308 0.509
Ni1 Ni 0.250 0.128 0.122
Ni2 Ni 0.250 0.372 0.622
Ni3 Ni 0.750 0.628 0.378
Ni4 Ni 0.750 0.872 0.878
```



Record 9
Entry from Alexandria: RuS2Cl after structural relaxation (GGA-PBE).

Values from the calculation:
**Space group**: R-3m (166)
**Size of the total moment**: 0.0 μB/f.u.
**Formation energy without anion corrections**: -0.1898 eV/atom
**DOS(E_F)**: 0.730 states/eV per atom

Cell and atoms, written as CIF:
```
data_RuS2Cl
_chemical_formula_sum 'Ru1 S2 Cl1'
_cell_length_a 7.278
_cell_length_b 7.278
_cell_length_c 7.278
_cell_angle_alpha 28.75
_cell_angle_beta 28.75
_cell_angle_gamma 28.75
_space_group_name_H-M_alt 'P 1'
_space_group_IT_number 1
loop_
_space_group_symop_operation_xyz
'x,y,z'
loop_
_atom_site_label
_atom_site_type_symbol
_atom_site_fract_x
_atom_site_fract_y
_atom_site_fract_z
Ru1 Ru 0.500 0.500 0.500
S1 S 0.887 0.887 0.887
S2 S 0.113 0.113 0.113
Cl1 Cl 0.000 0.000 0.000
```



Record 10
Entry from Alexandria: Ba3DyEr3Se8 after structural relaxation (GGA-PBE).

Values from the calculation:
**Space group**: R-3m (166)
**Size of the total moment**: 0.0 μB/f.u.
**Formation energy without anion corrections**: -1.9129 eV/atom
**DOS(E_F)**: 0.232 states/eV per atom

Cell and atoms, written as CIF:
```
data_Ba3DyEr3Se8
_chemical_formula_sum 'Ba3 Dy1 Er3 Se8'
_cell_length_a 8.377
_cell_length_b 8.376
_cell_length_c 8.942
_cell_angle_alpha 117.92
_cell_angle_beta 90.00
_cell_angle_gamma 120.00
_space_group_name_H-M_alt 'P 1'
_space_group_IT_number 1
loop_
_space_group_symop_operation_xyz
'x,y,z'
loop_
_atom_site_label
_atom_site_type_symbol
_atom_site_fract_x
_atom_site_fract_y
_atom_site_fract_z
Ba1 Ba 0.000 0.500 0.000
Ba2 Ba 0.500 0.500 0.000
Ba3 Ba 0.000 0.000 0.000
Dy1 Dy 0.000 0.000 0.500
Se1 Se 0.239 0.971 0.710
Se2 Se 0.263 0.526 0.290
Se3 Se 0.732 0.971 0.710
Se4 Se 0.761 0.523 0.290
Se5 Se 0.239 0.477 0.710
Se6 Se 0.761 0.029 0.290
Se7 Se 0.268 0.029 0.290
Se8 Se 0.737 0.474 0.710
Er1 Er 0.500 0.500 0.500
Er2 Er 0.500 0.000 0.500
Er3 Er 0.000 0.500 0.500
```



Record 11
Entry from Alexandria: Cs2SbPbF6 after structural relaxation (GGA-PBE).

Values from the calculation:
**Space group**: I4/mmm (139)
**Size of the total moment**: 0.0 μB/f.u.
**Formation energy without anion corrections**: -2.2763 eV/atom
**DOS(E_F)**: 0.770 states/eV per atom

Cell and atoms, written as CIF:
```
data_Cs2SbPbF6
_chemical_formula_sum 'Cs2 Sb1 Pb1 F6'
_cell_length_a 6.843
_cell_length_b 6.843
_cell_length_c 6.833
_cell_angle_alpha 59.95
_cell_angle_beta 59.95
_cell_angle_gamma 90.00
_space_group_name_H-M_alt 'P 1'
_space_group_IT_number 1
loop_
_space_group_symop_operation_xyz
'x,y,z'
loop_
_atom_site_label
_atom_site_type_symbol
_atom_site_fract_x
_atom_site_fract_y
_atom_site_fract_z
F1 F 0.262 0.738 0.000
F2 F 0.738 0.738 0.525
F3 F 0.262 0.262 0.475
F4 F 0.262 0.262 0.000
F5 F 0.738 0.738 0.000
F6 F 0.738 0.262 0.000
Cs1 Cs 0.750 0.250 0.500
Cs2 Cs 0.250 0.750 0.500
Sb1 Sb 0.500 0.500 0.000
Pb1 Pb 0.000 0.000 0.000
```



Record 12
Entry from Alexandria: Ti3CrS after structural relaxation (GGA-PBE).

Values from the calculation:
**Space group**: Pm-3m (221)
**Size of the total moment**: 1.0 μB/f.u.
**Formation energy without anion corrections**: 0.5495 eV/atom
**DOS(E_F)**: 1.616 states/eV per atom

Cell and atoms, written as CIF:
```
data_Ti3CrS
_chemical_formula_sum 'Ti3 Cr1 S1'
_cell_length_a 4.496
_cell_length_b 4.496
_cell_length_c 4.496
_cell_angle_alpha 90.00
_cell_angle_beta 90.00
_cell_angle_gamma 90.00
_space_group_name_H-M_alt 'P 1'
_space_group_IT_number 1
loop_
_space_group_symop_operation_xyz
'x,y,z'
loop_
_atom_site_label
_atom_site_type_symbol
_atom_site_fract_x
_atom_site_fract_y
_atom_site_fract_z
Ti1 Ti 0.500 0.000 0.000
Ti2 Ti 0.000 0.000 0.500
Ti3 Ti 0.000 0.500 0.000
S1 S 0.500 0.500 0.500
Cr1 Cr 0.000 0.000 0.000
```



Record 13
Entry from Alexandria: Li2LaUSe4 after structural relaxation (GGA-PBE).

Values from the calculation:
**Space group**: P2/m (10)
**Size of the total moment**: 3.0 μB/f.u.
**Formation energy without anion corrections**: -1.4279 eV/atom
**DOS(E_F)**: 0.948 states/eV per atom

Cell and atoms, written as CIF:
```
data_Li2LaUSe4
_chemical_formula_sum 'Li2 La1 U1 Se4'
_cell_length_a 4.177
_cell_length_b 7.277
_cell_length_c 6.967
_cell_angle_alpha 110.44
_cell_angle_beta 90.00
_cell_angle_gamma 90.00
_space_group_name_H-M_alt 'P 1'
_space_group_IT_number 1
loop_
_space_group_symop_operation_xyz
'x,y,z'
loop_
_atom_site_label
_atom_site_type_symbol
_atom_site_fract_x
_atom_site_fract_y
_atom_site_fract_z
Se1 Se 0.500 0.756 0.742
Se2 Se 0.500 0.244 0.258
Se3 Se 0.000 0.235 0.738
Se4 Se 0.000 0.765 0.262
La1 La 0.500 0.500 0.000
Li1 Li 0.500 0.000 0.500
Li2 Li 0.000 0.500 0.500
U1 U 0.000 0.000 0.000
```